[1]
A plane-wave DFT calculation with GGA-PBE was carried out for a geometry-optimized Li2SnAs structure.

Structure (POSCAR):
```
Li2SnAs
1.0
-3.037 1.249 0.720
-1.435 -2.779 -1.232
0.267 -2.754 5.903
Li Sn As
2 1 1
direct
0.000 0.000 0.286
0.000 0.000 0.714
0.500 0.500 0.000
0.500 0.500 0.500
```


[2]
A plane-wave DFT calculation with GGA-PBE was carried out for a geometry-optimized Li2Sn2As structure.

Structure (POSCAR):
```
Li2Sn2As
1.0
7.854 0.000 0.000
0.000 7.854 0.000
0.000 0.000 3.443
Li Sn As
4 4 2
direct
0.331 0.169 0.500
0.831 0.331 0.500
0.169 0.669 0.500
0.669 0.831 0.500
0.366 0.866 0.000
0.634 0.134 0.000
0.134 0.366 0.000
0.866 0.634 0.000
0.000 0.000 0.000
0.500 0.500 0.000
```


[3]
A plane-wave DFT calculation with GGA-PBE was carried out for a geometry-optimized Li2SnAs structure.

Structure (POSCAR):
```
Li2SnAs
1.0
4.133 0.000 0.000
0.000 4.256 0.000
0.000 0.000 4.256
As Li Sn
1 2 1
direct
0.500 0.500 0.500
0.000 0.000 0.500
0.000 0.500 0.000
0.500 0.000 0.000
```


[4]
A plane-wave DFT calculation with GGA-PBE was carried out for a geometry-optimized LiSn3As structure.

Structure (POSCAR):
```
LiSn3As
1.0
5.503 0.000 0.000
0.000 5.503 0.000
0.000 0.000 5.503
Li Sn As
1 3 1
direct
0.500 0.500 0.500
0.500 0.000 0.000
0.000 0.500 0.000
0.000 0.000 0.500
0.000 0.000 0.000
```


[5]
A plane-wave DFT calculation with GGA-PBE was carried out for a geometry-optimized Li2SnAs structure.

Structure (POSCAR):
```
Li2SnAs
1.0
-3.795 1.600 -0.831
-1.776 -3.650 1.085
-3.467 1.910 8.883
Li Sn As
4 2 2
direct
0.599 0.125 0.250
0.151 0.625 0.250
0.875 0.849 0.750
0.375 0.401 0.750
0.750 0.250 0.500
0.000 0.000 0.000
0.500 0.500 0.000
0.250 0.750 0.500
```


| no. | DOS(E_F) (states/eV/cell) | energy of formation from the pure elements (meV per atom) |
| --- | --- | --- |
| 1 | 1.01 | -358 |
| 2 | 3.94 | -110 |
| 3 | 0.96 | -411 |
| 4 | 3.59 | 381 |
| 5 | 3.11 | -260 |